Crystalline Na2GaAgCl6 at its relaxed geometry. Source: the Alexandria database, functional PBE.

Properties
- calculated total energy (eV per atom) = -3.070
- size of the total moment (μB/cell) = 0.000

```
Na2GaAgCl6
1.0
0.0000 5.0536 5.0536
5.0536 0.0000 5.0536
5.0536 5.0536 0.0000
Na Ga Ag Cl
2 1 1 6
Direct
0.2500 0.2500 0.2500
0.7500 0.7500 0.7500
0.0000 0.0000 0.0000
0.5000 0.5000 0.5000
0.2363 0.2363 0.7637
0.2363 0.7637 0.2363
0.2363 0.7637 0.7637
0.7637 0.2363 0.2363
0.7637 0.2363 0.7637
0.7637 0.7637 0.2363
```

---

Crystalline Zr5Fe4 at its relaxed geometry. Source: the Alexandria database, functional PBE.

Properties
- DFT formation energy (eV/atom) = -0.003
- calculated total energy (eV per atom) = -8.513
- size of the total moment (μB/cell) = 3.657

```
Zr5Fe4
1.0
7.8888 0.0000 0.0000
-3.9444 6.8319 0.0000
0.0000 0.0000 5.7567
Zr Fe
10 8
Direct
0.0000 0.2733 0.2500
0.0000 0.7267 0.7500
0.2733 0.0000 0.2500
0.2733 0.2733 0.7500
0.3333 0.6667 0.0000
0.3333 0.6667 0.5000
0.6667 0.3333 0.0000
0.6667 0.3333 0.5000
0.7267 0.0000 0.7500
0.7267 0.7267 0.2500
0.0000 0.0000 0.0000
0.0000 0.0000 0.5000
0.0000 0.3843 0.7500
0.0000 0.6157 0.2500
0.3843 0.0000 0.7500
0.3843 0.3843 0.2500
0.6157 0.0000 0.2500
0.6157 0.6157 0.7500
```